1.
A relaxed Mg3Re crystal. Source: Alexandria, functional PBE.

Values from the calculation:
ΔH_f (0 K) ... 0.7 eV/f.u.
Fermi-level density of states ... 0.48 states/eV per atom
Raw total energy ... -4.125 eV per atom
Energy above the most stable polymorph in this dataset ... 0 meV/atom

abc: 4.4421 9.3044 7.1478
angles: 90.00 90.00 90.00
Fractional coordinates of all 16 atoms:
Mg 0.2494 0.2500 0.0986
Mg 0.2498 0.0067 0.3773
Mg 0.2498 0.4933 0.3773
Mg 0.2502 0.5067 0.8773
Mg 0.2502 0.9933 0.8773
Mg 0.2506 0.7500 0.5986
Mg 0.7494 0.2500 0.4014
Mg 0.7498 0.0067 0.1227
Mg 0.7498 0.4933 0.1227
Mg 0.7502 0.5067 0.6227
Mg 0.7502 0.9933 0.6227
Mg 0.7506 0.7500 0.9014
Re 0.2493 0.2500 0.6629
Re 0.2507 0.7500 0.1629
Re 0.7493 0.2500 0.8371
Re 0.7507 0.7500 0.3371

***

2.
A relaxed Mg3Re crystal. Source: Alexandria, functional PBE.

Values from the calculation:
ΔH_f (0 K) ... 1.2 eV/f.u.
Fermi-level density of states ... 0.57 states/eV per atom
Raw total energy ... -4.017 eV per atom
Energy above the most stable polymorph in this dataset ... 107 meV/atom

abc: 5.0358 5.0358 5.3068
angles: 96.18 96.18 32.40
Fractional coordinates of all 4 atoms:
Mg 0.0000 0.0000 0.0000
Mg 0.2444 0.2444 0.7297
Mg 0.7556 0.7556 0.2703
Re 0.5000 0.5000 0.5000

***

3.
A relaxed MgRe5 crystal. Source: Alexandria, functional PBE.

Values from the calculation:
ΔH_f (0 K) ... 1.1 eV/f.u.
Fermi-level density of states ... 0.61 states/eV per atom
Raw total energy ... -10.458 eV per atom
Energy above the most stable polymorph in this dataset ... 3 meV/atom

abc: 5.2144 5.2144 4.3753
angles: 90.00 90.00 130.47
Fractional coordinates of all 6 atoms:
Mg 0.0000 0.0000 0.0000
Re 0.1650 0.8350 0.5000
Re 0.3295 0.6705 0.0000
Re 0.5000 0.5000 0.5000
Re 0.6705 0.3295 0.0000
Re 0.8350 0.1650 0.5000

***

4.
A relaxed MgRe2 crystal. Source: Alexandria, functional PBE.

Values from the calculation:
ΔH_f (0 K) ... 6.0 eV/f.u.
Fermi-level density of states ... 1.05 states/eV per atom
Raw total energy ... -6.835 eV per atom
Energy above the most stable polymorph in this dataset ... 1878 meV/atom

abc: 6.0619 6.0619 6.0619
angles: 90.00 90.00 90.00
Fractional coordinates of all 12 atoms:
Mg 0.0000 0.0000 0.0000
Mg 0.0000 0.5000 0.5000
Mg 0.5000 0.0000 0.5000
Mg 0.5000 0.5000 0.0000
Re 0.1106 0.6106 0.8894
Re 0.1106 0.8894 0.3894
Re 0.3894 0.1106 0.8894
Re 0.3894 0.3894 0.3894
Re 0.6106 0.6106 0.6106
Re 0.6106 0.8894 0.1106
Re 0.8894 0.1106 0.6106
Re 0.8894 0.3894 0.1106

***

5.
A relaxed Mg3Re crystal. Source: Alexandria, functional PBE.

Values from the calculation:
ΔH_f (0 K) ... 1.4 eV/f.u.
Fermi-level density of states ... 0.42 states/eV per atom
Raw total energy ... -3.960 eV per atom
Energy above the most stable polymorph in this dataset ... 164 meV/atom

abc: 6.1543 6.1543 4.4954
angles: 90.00 90.00 86.54
Fractional coordinates of all 8 atoms:
Mg 0.1055 0.8945 0.7500
Mg 0.1313 0.5374 0.2500
Mg 0.4626 0.8687 0.2500
Mg 0.5374 0.1313 0.7500
Mg 0.8687 0.4626 0.7500
Mg 0.8945 0.1055 0.2500
Re 0.4280 0.5720 0.7500
Re 0.5720 0.4280 0.2500

***

6.
A relaxed Mg2Re crystal. Source: Alexandria, functional PBE.

Values from the calculation:
ΔH_f (0 K) ... 1.2 eV/f.u.
Fermi-level density of states ... 1.01 states/eV per atom
Raw total energy ... -4.827 eV per atom
Energy above the most stable polymorph in this dataset ... 160 meV/atom

abc: 7.9846 7.9846 4.7832
angles: 90.00 90.00 160.39
Fractional coordinates of all 6 atoms:
Mg 0.0494 0.9506 0.7500
Mg 0.2814 0.7186 0.2500
Mg 0.7186 0.2814 0.7500
Mg 0.9506 0.0494 0.2500
Re 0.3819 0.6181 0.7500
Re 0.6181 0.3819 0.2500

***

7.
A relaxed Mg3Re crystal. Source: Alexandria, functional PBE.

Values from the calculation:
ΔH_f (0 K) ... 1.4 eV/f.u.
Fermi-level density of states ... 0.02 states/eV per atom
Raw total energy ... -3.951 eV per atom
Energy above the most stable polymorph in this dataset ... 173 meV/atom

abc: 9.0090 9.0090 9.0090
angles: 153.96 153.96 37.16
Fractional coordinates of all 8 atoms:
Mg 0.0000 0.5000 0.5000
Mg 0.1276 0.1276 0.0000
Mg 0.2500 0.7500 0.5000
Mg 0.5000 0.0000 0.5000
Mg 0.7500 0.2500 0.5000
Mg 0.8724 0.8724 0.0000
Re 0.3799 0.3799 0.0000
Re 0.6201 0.6201 0.0000

***

8.
A relaxed MgRe2 crystal. Source: Alexandria, functional PBE.

Values from the calculation:
ΔH_f (0 K) ... 0.7 eV/f.u.
Fermi-level density of states ... 0.72 states/eV per atom
Raw total energy ... -8.580 eV per atom
Energy above the most stable polymorph in this dataset ... 132 meV/atom

abc: 4.9769 4.9769 7.7420
angles: 112.40 112.40 33.50
Fractional coordinates of all 6 atoms:
Mg 0.1615 0.1615 0.0952
Mg 0.8385 0.8385 0.9048
Re 0.1562 0.1562 0.5612
Re 0.4946 0.4946 0.2665
Re 0.5054 0.5054 0.7335
Re 0.8438 0.8438 0.4388